Here is a relaxed structure of SrLi2Mo from Alexandria via LeMat-Bulk. Energies are from PBE-GGA.

The density comes out at 3.7 g cm⁻³.

It has space group R-3m (No. 166, hexagonal axes), with a = 3.0627 Å, b = 3.0627 Å, c = 32.4863 Å, α = 90.00°, β = 90.00° and γ = 120.00°. The distinct sites, in fractional coordinates, are Sr at (0.0000, 0.0000, 0.0000), Li at (0.0000, 0.0000, 0.2376) and Mo at (0.0000, 0.0000, 0.5000).

=====

Here is a relaxed structure of SrLiMo2 from Alexandria via LeMat-Bulk. Energies are from PBE-GGA.

The density comes out at 5.1 g cm⁻³.

It has space group Imm2 (No. 44), with a = 3.3961 Å, b = 5.5993 Å, c = 9.8201 Å, α = 90.00°, β = 90.00° and γ = 90.00°. The distinct sites, in fractional coordinates, are Sr at (0.0000, 0.0000, 0.0000), Li at (0.0000, 0.5000, 0.7871), Mo at (0.0000, 0.0000, 0.5426) and Mo at (0.0000, 0.5000, 0.2094).

=====

Here is a relaxed structure of SrLiMo2 from Alexandria via LeMat-Bulk. Energies are from PBE-GGA.

The density comes out at 4.5 g cm⁻³.

It has space group I4_1/amd (No. 141, origin choice 2), with a = 4.5939 Å, b = 4.5939 Å, c = 20.2223 Å, α = 90.00°, β = 90.00° and γ = 90.00°. The distinct sites, in fractional coordinates, are Sr at (0.0000, 0.2500, 0.3750), Li at (0.0000, 0.2500, 0.8750) and Mo at (0.0000, 0.0000, 0.0000).

=====

Here is a relaxed structure of SrLi2Mo from Alexandria via LeMat-Bulk. Energies are from PBE-GGA.

The density comes out at 3.9 g cm⁻³.

It has space group Pm (No. 6), with a = 2.8213 Å, b = 4.7398 Å, c = 6.4870 Å, α = 90.00°, β = 102.37° and γ = 90.00°. The distinct sites, in fractional coordinates, are Sr at (0.0000, 0.0000, 0.0000), Li at (0.6528, 0.5000, 0.3110), Li at (0.7794, 0.0000, 0.5344) and Mo at (0.3574, 0.5000, 0.7073).

=====

no.,energy (eV per atom),energy relative to the elements (meV per atom),energy above the lowest structure with this stoichiometry (eV per formula unit)
1,-3.189,896,0.972
2,-5.572,743,0.962
3,-5.090,1224,2.888
4,-3.347,738,0.342